Compound: LiMo2Au
Source: Alexandria via LeMat-Bulk
Functional: PBE
Structure: optimized geometry

Computed properties:
Crystal system: orthorhombic
Magnetic moment in Bohr magnetons per cell: 0.000
ΔH_f (0 K) in eV per atom: 0.19
Space group: No. 25

Structure (POSCAR):
```
LiMo2Au
1.0
2.638 0.000 0.000
0.000 4.105 0.000
0.000 0.000 5.822
Li Mo Au
1 2 1
Cartesian
1.319 2.052 4.285
0.000 0.000 0.026
1.319 2.052 1.377
0.000 0.000 3.045
```

***

Compound: LiMo2Au
Source: Alexandria via LeMat-Bulk
Functional: PBE
Structure: optimized geometry

Computed properties:
Crystal system: monoclinic
Magnetic moment in Bohr magnetons per cell: 0.000
ΔH_f (0 K) in eV per atom: 0.22
Space group: No. 8

Structure (POSCAR):
```
LiMo2Au
1.0
4.699 -0.002 -0.006
3.952 2.543 -0.006
0.299 0.088 5.291
Mo Li Au
2 1 1
Cartesian
6.810 2.000 4.074
8.939 2.626 5.249
2.187 0.642 1.381
4.439 1.304 2.494
```

***

Compound: Li2MoAu
Source: Alexandria via LeMat-Bulk
Functional: PBE
Structure: optimized geometry

Computed properties:
Crystal system: orthorhombic
Magnetic moment in Bohr magnetons per cell: 0.008
ΔH_f (0 K) in eV per atom: 0.26
Space group: No. 65

Structure (POSCAR):
```
Li2MoAu
1.0
-1.349 0.845 4.902
1.078 -4.925 -1.070
2.496 0.412 0.616
Au Mo Li
1 1 2
Cartesian
1.787 -2.256 -0.227
0.573 0.629 2.759
-0.136 -2.040 1.916
0.000 0.000 0.000
```

***

Compound: LiMoAu3
Source: Alexandria via LeMat-Bulk
Functional: PBE
Structure: optimized geometry

Computed properties:
Crystal system: cubic
Magnetic moment in Bohr magnetons per cell: 3.575
ΔH_f (0 K) in eV per atom: 0.60
Space group: No. 221

Structure (POSCAR):
```
LiMoAu3
1.0
4.472 0.000 0.000
0.000 4.472 0.000
0.000 0.000 4.472
Au Li Mo
3 1 1
Cartesian
0.000 2.236 0.000
0.000 0.000 2.236
2.236 0.000 0.000
0.000 0.000 0.000
2.236 2.236 2.236
```

***

Computed energy relative to the lowest polymorph listed for this composition, in the same sequence as the records: 9.22; 12.39; 20.80; 0.00 kJ/mol of atoms.